No. 1
Compound: MgTa2Co2
Source: the Alexandria database
Functional: PBE
Structure: optimized geometry

abc: 7.555 7.555 2.744
angles: 90.00 90.00 90.00
Atoms (fractional coordinates):
Co  0.645  0.855  0.500
Mg  0.500  0.500  0.000
Co  0.355  0.145  0.500
Ta  0.854  0.646  0.000
Co  0.855  0.355  0.500
Ta  0.146  0.354  0.000
Mg  0.000  0.000  0.000
Co  0.145  0.645  0.500
Ta  0.354  0.854  0.000
Ta  0.646  0.146  0.000

## Properties
ΔH_f (0 K) = 0.087 eV per atom

No. 2
Compound: BePb3O
Source: the Alexandria database
Functional: PBE
Structure: optimized geometry

abc: 4.968 4.968 4.968
angles: 90.00 90.00 90.00
Atoms (fractional coordinates):
Pb  0.000  0.500  0.000
Be  0.500  0.500  0.500
Pb  0.500  0.000  0.000
Pb  0.000  0.000  0.500
O  0.000  0.000  0.000

## Properties
Formation energy from raw total energies = 0.9 eV per formula unit

No. 3
Compound: MgFeI6
Source: the Alexandria database
Functional: PBE
Structure: optimized geometry

abc: 6.946 8.684 8.684
angles: 66.84 74.54 105.46
Atoms (fractional coordinates):
I  0.138  0.000  0.259
Fe  0.000  0.000  0.000
I  0.138  0.741  0.000
Mg  0.500  0.000  0.000
I  0.397  0.259  0.741
I  0.862  0.259  0.000
I  0.862  0.000  0.741
I  0.603  0.741  0.259

## Properties
Formation energy from raw total energies = -2.7 eV per formula unit

No. 4
Compound: CsLa
Source: the Alexandria database
Functional: PBE
Structure: optimized geometry

abc: 17.325 17.325 4.452
angles: 90.00 90.00 90.00
Atoms (fractional coordinates):
Cs  0.980  0.717  0.500
La  0.299  0.738  0.500
Cs  0.283  0.980  0.500
La  0.238  0.201  0.000
La  0.738  0.701  0.500
Cs  0.717  0.020  0.500
La  0.701  0.262  0.500
La  0.762  0.799  0.000
La  0.262  0.299  0.500
La  0.201  0.762  0.000
Cs  0.520  0.783  0.000
Cs  0.480  0.217  0.000
La  0.799  0.238  0.000
Cs  0.020  0.283  0.500
Cs  0.217  0.520  0.000
Cs  0.783  0.480  0.000

## Properties
ΔH_f (0 K) = 0.698 eV per atom

No. 5
Compound: CsK2LiH4
Source: the Alexandria database
Functional: PBE
Structure: optimized geometry

abc: 3.907 6.945 13.216
angles: 90.00 90.00 106.34
Atoms (fractional coordinates):
Li  0.817  0.634  0.750
K  0.635  0.270  0.454
H  0.261  0.521  0.368
K  0.365  0.730  0.954
H  0.610  0.221  0.250
Cs  0.096  0.193  0.750
Li  0.183  0.366  0.250
H  0.261  0.521  0.132
K  0.635  0.270  0.046
Cs  0.904  0.807  0.250
K  0.365  0.730  0.546
H  0.390  0.779  0.750
H  0.000  0.000  0.000
H  0.739  0.479  0.632
H  0.000  0.000  0.500
H  0.739  0.479  0.868

## Properties
Final energy = -0.1855 Ry per atom

No. 6
Compound: CePrLuPa
Source: the Alexandria database
Functional: PBE
Structure: optimized geometry

abc: 5.538 5.538 5.538
angles: 60.00 60.00 60.00
Atoms (fractional coordinates):
Lu  0.500  0.500  0.500
Pr  0.250  0.250  0.250
Ce  0.750  0.750  0.750
Pa  0.000  0.000  0.000

## Properties
ΔH_f (0 K) = 0.393 eV per atom

No. 7
Compound: Y2ErTc
Source: the Alexandria database
Functional: PBE
Structure: optimized geometry

abc: 3.473 3.473 8.796
angles: 90.00 90.00 90.00
Atoms (fractional coordinates):
Y  0.000  0.000  0.188
Y  0.000  0.000  0.812
Tc  0.500  0.500  0.000
Er  0.500  0.500  0.500

## Properties
ΔH_f (0 K) = 0.057 eV per atom

No. 8
Compound: SrCe2YSe4
Source: the Alexandria database
Functional: PBE
Structure: optimized geometry

abc: 4.202 7.385 7.315
angles: 70.96 90.00 90.00
Atoms (fractional coordinates):
Se  0.500  0.744  0.260
Sr  0.500  0.500  0.000
Ce  0.000  0.000  0.000
Y  0.000  0.500  0.500
Ce  0.500  0.000  0.500
Se  0.000  0.250  0.259
Se  0.500  0.256  0.740
Se  0.000  0.750  0.741

## Properties
Formation energy from raw total energies = -14.6 eV per formula unit

No. 9
Compound: Hf2Be16B
Source: the Alexandria database
Functional: PBE
Structure: optimized geometry

abc: 5.600 5.600 5.600
angles: 82.94 82.94 82.94
Atoms (fractional coordinates):
Be  0.291  0.710  0.001
Be  0.503  0.999  0.999
Be  0.343  0.343  0.840
Be  0.001  0.710  0.291
Be  0.291  0.001  0.710
Be  0.999  0.503  0.999
Be  0.840  0.343  0.343
Be  0.343  0.840  0.343
Be  0.710  0.291  0.001
Be  0.160  0.659  0.659
Be  0.086  0.086  0.086
Be  0.659  0.659  0.160
Be  0.710  0.001  0.291
Hf  0.336  0.336  0.336
Be  0.999  0.999  0.503
Be  0.001  0.291  0.710
B  0.900  0.900  0.900
Hf  0.666  0.666  0.666
Be  0.659  0.160  0.659

## Properties
ΔH_f (0 K) = -0.196 eV per atom

No. 10
Compound: EuBH2
Source: the Alexandria database
Functional: PBE
Structure: optimized geometry

abc: 4.170 4.170 3.940
angles: 58.05 58.05 60.00
Atoms (fractional coordinates):
H  0.631  0.631  0.106
H  0.369  0.369  0.894
Eu  0.000  0.000  0.000
B  0.500  0.500  0.500

## Properties
Final energy = -0.4314 Ry per atom

No. 11
Compound: Pr8Cu2Ni
Source: the Alexandria database
Functional: PBE
Structure: optimized geometry

abc: 5.197 6.916 9.368
angles: 101.40 106.10 90.00
Atoms (fractional coordinates):
Pr  0.337  0.028  0.675
Cu  0.191  0.747  0.382
Pr  0.412  0.556  0.823
Pr  0.800  0.663  0.600
Pr  0.200  0.337  0.400
Pr  0.588  0.444  0.177
Pr  0.663  0.972  0.325
Cu  0.809  0.253  0.618
Pr  0.031  0.785  0.062
Pr  0.969  0.215  0.938
Ni  0.500  0.000  0.000

## Properties
ΔH_f (0 K) = -0.057 eV per atom

No. 12
Compound: Ac4PrTe7
Source: the Alexandria database
Functional: PBE
Structure: optimized geometry

abc: 4.585 8.085 13.772
angles: 104.43 90.00 106.47
Atoms (fractional coordinates):
Te  0.266  0.532  0.654
Ac  0.309  0.619  0.205
Ac  0.108  0.215  0.432
Te  0.964  0.929  0.214
Pr  0.881  0.762  0.575
Te  0.345  0.689  0.956
Te  0.734  0.468  0.356
Te  0.471  0.942  0.476
Ac  0.707  0.413  0.814
Te  0.042  0.085  0.771
Ac  0.006  0.012  0.995
Te  0.668  0.335  0.054

## Properties
Formation energy from raw total energies = -18.5 eV per formula unit

Question: Number 12 is which compound?
Answer: Ac4PrTe7